Record 1
The following is a DFT calculation (PBE-GGA) of a geometry-optimized Pa3SnTe8 structure.

Output
As for the density of states at the Fermi level: 17.6 states/eV/cell. For the uncorrected formation energy, the calculation gives -781 kJ/mol of formula units. The electronic total energy comes out at -5.48 eV/atom. Its total magnetic moment is 0.095 μB per atom.

Cell lengths 8.833, 8.833, 14.343 Å; angles 90.00, 90.00, 120.00 degrees
Atoms (fractional coordinates):
Pa1 0.166 0.332 0.000
Pa2 0.166 0.834 0.000
Pa3 0.332 0.166 0.500
Pa4 0.668 0.834 0.000
Pa5 0.834 0.166 0.500
Pa6 0.834 0.668 0.500
Sn1 0.333 0.667 0.239
Sn2 0.667 0.333 0.739
Te1 0.000 0.000 0.121
Te2 0.000 0.000 0.621
Te3 0.007 0.503 0.120
Te4 0.161 0.321 0.387
Te5 0.161 0.839 0.387
Te6 0.321 0.161 0.887
Te7 0.333 0.667 0.880
Te8 0.497 0.503 0.120
Te9 0.497 0.993 0.120
Te10 0.503 0.007 0.620
Te11 0.503 0.497 0.620
Te12 0.667 0.333 0.380
Te13 0.679 0.839 0.387
Te14 0.839 0.161 0.887
Te15 0.839 0.679 0.887
Te16 0.993 0.497 0.620

---

Record 2
The following is a DFT calculation (PBE-GGA) of a geometry-optimized ZnB2O structure.

Output
For the excess energy over the best structure of this formula in the dataset, the calculation gives 0 meV per atom. As for the density of states at the Fermi level: 0.0 states/eV/cell. For the uncorrected formation energy, the calculation gives 180 kJ/mol of formula units. The electronic total energy comes out at -4.43 eV/atom. Its total magnetic moment is 0.000 μB per atom.

Cell lengths 5.033, 5.033, 5.033 Å; angles 127.01, 127.01, 78.23 degrees
Atoms (fractional coordinates):
Zn1 0.000 0.000 0.000
Zn2 0.750 0.250 0.500
B1 0.204 0.625 0.079
B2 0.375 0.454 0.579
B3 0.546 0.125 0.921
B4 0.875 0.796 0.421
O1 0.250 0.750 0.500
O2 0.500 0.500 0.000

---

Record 3
The following is a DFT calculation (PBE-GGA) of a geometry-optimized CrHgSeN2 structure.

Output
For the excess energy over the best structure of this formula in the dataset, the calculation gives 214 meV per atom. As for the density of states at the Fermi level: 4.6 states/eV/cell. For the uncorrected formation energy, the calculation gives 361 kJ/mol of formula units. The electronic total energy comes out at -5.26 eV/atom. Its total magnetic moment is 0.000 μB per atom.

Cell lengths 3.702, 3.702, 6.119 Å; angles 90.00, 90.00, 90.00 degrees
Atoms (fractional coordinates):
Cr1 0.000 0.000 0.000
Hg1 0.000 0.000 0.500
Se1 0.500 0.500 0.500
N1 0.000 0.500 0.000
N2 0.500 0.000 0.000

---

Record 4
The following is a DFT calculation (PBE-GGA) of a geometry-optimized Zr2CrHPd structure.

Output
As for the density of states at the Fermi level: 4.2 states/eV/cell. The electronic total energy comes out at -7.31 eV/atom. Its total magnetic moment is 0.000 μB per atom.

Cell lengths 4.621, 4.621, 3.439 Å; angles 90.00, 90.00, 90.00 degrees
Atoms (fractional coordinates):
Zr1 0.000 0.500 0.000
Zr2 0.500 0.000 0.000
Cr1 0.000 0.000 0.500
H1 0.000 0.000 0.000
Pd1 0.500 0.500 0.500

---

Record 5
The following is a DFT calculation (PBE-GGA) of a geometry-optimized HfTa structure.

Output
For the energy of formation, the calculation gives 0.16 eV per atom. As for the density of states at the Fermi level: 15.2 states/eV/cell. The electronic total energy comes out at -10.75 eV/atom. Its total magnetic moment is 0.000 μB per atom.

Cell lengths 15.215, 3.040, 5.257 Å; angles 90.00, 90.00, 90.00 degrees
Atoms (fractional coordinates):
Hf1 0.000 0.244 0.000
Hf2 0.172 0.992 0.749
Hf3 0.328 0.008 0.249
Hf4 0.500 0.756 0.500
Hf5 0.672 0.008 0.249
Hf6 0.828 0.992 0.749
Ta1 0.000 0.736 0.488
Ta2 0.160 0.500 0.256
Ta3 0.340 0.500 0.756
Ta4 0.500 0.264 0.988
Ta5 0.660 0.500 0.756
Ta6 0.840 0.500 0.256

---

Record 6
The following is a DFT calculation (PBE-GGA) of a geometry-optimized LaSm4Se5 structure.

Output
For the excess energy over the best structure of this formula in the dataset, the calculation gives 9 meV per atom. As for the density of states at the Fermi level: 4.7 states/eV/cell. For the uncorrected formation energy, the calculation gives -1782 kJ/mol of formula units. The electronic total energy comes out at -5.97 eV/atom. Its total magnetic moment is 0.000 μB per atom.

Cell lengths 15.172, 15.172, 15.172 Å; angles 164.08, 164.08, 22.58 degrees
Atoms (fractional coordinates):
La1 0.000 0.000 0.000
Sm1 0.199 0.199 0.000
Sm2 0.399 0.399 0.000
Sm3 0.601 0.601 0.000
Sm4 0.801 0.801 0.000
Se1 0.101 0.101 0.000
Se2 0.299 0.299 0.000
Se3 0.500 0.500 0.000
Se4 0.701 0.701 0.000
Se5 0.899 0.899 0.000

---

Record 7
The following is a DFT calculation (PBE-GGA) of a geometry-optimized PrNd2Dy structure.

Output
For the excess energy over the best structure of this formula in the dataset, the calculation gives 3 meV per atom. For the energy of formation, the calculation gives 0.02 eV per atom. As for the density of states at the Fermi level: 5.9 states/eV/cell. The electronic total energy comes out at -4.71 eV/atom. Its total magnetic moment is 0.000 μB per atom.

Cell lengths 12.092, 12.092, 12.092 Å; angles 17.42, 17.42, 17.42 degrees
Atoms (fractional coordinates):
Pr1 0.000 0.000 0.000
Nd1 0.582 0.582 0.582
Nd2 0.752 0.752 0.752
Dy1 0.167 0.167 0.167

---

Record 8
The following is a DFT calculation (PBE-GGA) of a geometry-optimized Gd2HgRh structure.

Output
For the excess energy over the best structure of this formula in the dataset, the calculation gives 0 meV per atom. For the energy of formation, the calculation gives -0.66 eV per atom. As for the density of states at the Fermi level: 1.9 states/eV/cell. The electronic total energy comes out at -9.61 eV/atom. Its total magnetic moment is 3.539 μB per atom.

Cell lengths 3.536, 3.536, 7.582 Å; angles 90.00, 90.00, 90.00 degrees
Atoms (fractional coordinates):
Gd1 0.000 0.000 0.220
Gd2 0.000 0.000 0.780
Hg1 0.500 0.500 0.500
Rh1 0.500 0.500 0.000

---

Record 9
The following is a DFT calculation (PBE-GGA) of a geometry-optimized ErCoSnPd structure.

Output
For the energy of formation, the calculation gives -0.52 eV per atom. As for the density of states at the Fermi level: 3.4 states/eV/cell. The electronic total energy comes out at -5.74 eV/atom. Its total magnetic moment is 0.266 μB per atom.

Cell lengths 4.671, 4.671, 4.671 Å; angles 60.00, 60.00, 60.00 degrees
Atoms (fractional coordinates):
Er1 0.000 0.000 0.000
Co1 0.250 0.250 0.250
Sn1 0.500 0.500 0.500
Pd1 0.750 0.750 0.750

---

Record 10
The following is a DFT calculation (PBE-GGA) of a geometry-optimized Li2PrMg3 structure.

Output
For the excess energy over the best structure of this formula in the dataset, the calculation gives 0 meV per atom. For the energy of formation, the calculation gives -0.05 eV per atom. As for the density of states at the Fermi level: 5.3 states/eV/cell. The electronic total energy comes out at -2.28 eV/atom. Its total magnetic moment is 0.000 μB per atom.

Cell lengths 3.501, 3.501, 11.599 Å; angles 90.00, 90.00, 90.00 degrees
Atoms (fractional coordinates):
Li1 0.000 0.000 0.148
Li2 0.000 0.000 0.852
Pr1 0.000 0.000 0.500
Mg1 0.500 0.500 0.000
Mg2 0.500 0.500 0.291
Mg3 0.500 0.500 0.709

---

Record 11
The following is a DFT calculation (PBE-GGA) of a geometry-optimized KHo2PdO4 structure.

Output
As for the density of states at the Fermi level: 5.9 states/eV/cell. For the uncorrected formation energy, the calculation gives -1655 kJ/mol of formula units. The electronic total energy comes out at -6.55 eV/atom. Its total magnetic moment is 0.125 μB per atom.

Cell lengths 6.645, 6.645, 6.645 Å; angles 133.96, 133.96, 67.16 degrees
Atoms (fractional coordinates):
K1 0.000 0.000 0.000
Ho1 0.250 0.750 0.500
Ho2 0.750 0.250 0.500
Pd1 0.500 0.500 0.000
O1 0.127 0.571 0.000
O2 0.429 0.429 0.556
O3 0.571 0.127 0.000
O4 0.873 0.873 0.444

---

Record 12
The following is a DFT calculation (PBE-GGA) of a geometry-optimized KTiAl2 structure.

Output
For the excess energy over the best structure of this formula in the dataset, the calculation gives 143 meV per atom. For the energy of formation, the calculation gives 0.73 eV per atom. As for the density of states at the Fermi level: 12.9 states/eV/cell. The electronic total energy comes out at -3.39 eV/atom. Its total magnetic moment is 0.601 μB per atom.

Cell lengths 10.194, 10.194, 10.194 Å; angles 149.68, 149.68, 43.41 degrees
Atoms (fractional coordinates):
K1 0.375 0.625 0.750
K2 0.625 0.375 0.250
Ti1 0.125 0.875 0.250
Ti2 0.875 0.125 0.750
Al1 0.000 0.000 0.000
Al2 0.000 0.000 0.500
Al3 0.000 0.500 0.000
Al4 0.500 0.000 0.500